No. 1
Compound: Ta2Al3
Source: OQMD
Functional: GGA-PBE
Structure: relaxed

Cell and atoms, written as POSCAR:
```
Ta2Al3
1.0
9.939 0.000 0.000
0.000 9.939 0.000
0.000 0.000 5.055
Al Ta
18 12
direct
0.561 0.240 0.000
0.760 0.439 0.000
0.500 0.500 0.000
0.240 0.561 0.000
0.439 0.760 0.000
0.815 0.185 0.249
0.185 0.815 0.249
0.315 0.315 0.251
0.685 0.685 0.251
0.000 0.000 0.500
0.260 0.061 0.500
0.061 0.260 0.500
0.939 0.740 0.500
0.740 0.939 0.500
0.315 0.315 0.749
0.685 0.685 0.749
0.815 0.185 0.751
0.185 0.815 0.751
0.368 0.031 0.000
0.097 0.097 0.000
0.031 0.368 0.000
0.969 0.632 0.000
0.903 0.903 0.000
0.632 0.969 0.000
0.531 0.132 0.500
0.597 0.403 0.500
0.868 0.469 0.500
0.132 0.531 0.500
0.403 0.597 0.500
0.469 0.868 0.500
```

No. 2
Compound: Ta2Al
Source: OQMD
Functional: GGA-PBE
Structure: relaxed

Cell and atoms, written as POSCAR:
```
Ta2Al
1.0
-7.096 -1.443 6.811
-4.965 -5.768 -6.395
2.561 -4.180 1.782
Al Ta
10 20
direct
0.000 0.000 0.000
0.737 0.066 0.000
0.934 0.263 0.000
0.066 0.737 0.000
0.263 0.934 0.000
0.434 0.237 0.500
0.237 0.434 0.500
0.500 0.500 0.500
0.763 0.566 0.500
0.566 0.763 0.500
0.464 0.129 0.000
0.398 0.398 0.000
0.129 0.464 0.000
0.871 0.536 0.000
0.602 0.602 0.000
0.536 0.871 0.000
0.681 0.319 0.248
0.319 0.681 0.248
0.181 0.181 0.252
0.819 0.819 0.252
0.629 0.036 0.500
0.898 0.102 0.500
0.964 0.371 0.500
0.036 0.629 0.500
0.102 0.898 0.500
0.371 0.964 0.500
0.181 0.181 0.748
0.819 0.819 0.748
0.681 0.319 0.752
0.319 0.681 0.752
```

Number 1: final energy -7.144 eV/atom. Number 2: final energy -9.401 eV/atom.